The following is a PBE with a Hubbard U calculation of a geometry-optimized InFe2F structure, from Alexandria.

Computed properties:
- total DFT energy (no corrections) (eV/atom) = -3.7707
- polymorph energy (0 for the lowest one) (eV/atom) = 0.319

Lattice parameters (Å, degrees): 4.561 4.561 4.561 60.00 60.00 60.00
Each line ends with the local moment (μB).
Fractional positions:
F: 0.000 0.000 0.000  0.02
Fe: 0.250 0.250 0.250  3.19
Fe: 0.750 0.750 0.750  3.19
In: 0.500 0.500 0.500  -0.11